## w
## Pm4Sm2Y5 (GGA-PBE)

Data for a relaxed structure of Pm4Sm2Y5.

Cell lengths 5.864, 6.406, 10.283 Å; angles 85.56, 106.57, 90.00 degrees
Sites, in units of the cell vectors:
Pm  0.306  0.071  0.612
Pm  0.035  0.728  0.070
Pm  0.694  0.929  0.388
Pm  0.965  0.272  0.930
Sm  0.402  0.541  0.803
Sm  0.598  0.459  0.197
Y  0.786  0.392  0.572
Y  0.214  0.608  0.428
Y  0.870  0.854  0.739
Y  0.500  0.000  0.000
Y  0.130  0.146  0.261

SG: C2/m (12)
Total magnetization, μB/f.u.: 0.000


## x
## Pm4Sm2Y5 (GGA-PBE)

Data for a relaxed structure of Pm4Sm2Y5.

Cell lengths 6.833, 6.663, 10.236 Å; angles 79.16, 70.50, 59.15 degrees
Sites, in units of the cell vectors:
Pm  0.374  0.817  0.435
Pm  0.626  0.183  0.565
Pm  0.717  0.765  0.801
Pm  0.283  0.235  0.199
Sm  0.242  0.746  0.769
Sm  0.758  0.254  0.231
Y  0.175  0.255  0.888
Y  0.825  0.745  0.112
Y  0.000  0.500  0.500
Y  0.683  0.255  0.888
Y  0.317  0.745  0.112

SG: C2/m (12)
Total magnetization, μB/f.u.: 0.000


Name the most stable of them. w.


## w
## Pm3Sm4Y4 (GGA-PBE)

Data for a relaxed structure of Pm3Sm4Y4.

Cell lengths 5.759, 6.727, 10.691 Å; angles 90.00, 90.00, 115.35 degrees
Sites, in units of the cell vectors:
Pm  0.405  0.811  0.295
Pm  0.405  0.811  0.705
Pm  0.255  0.510  0.000
Sm  0.757  0.515  0.790
Sm  0.757  0.515  0.210
Sm  0.885  0.769  0.500
Sm  0.961  0.921  0.000
Y  0.614  0.229  0.500
Y  0.555  0.110  0.000
Y  0.102  0.203  0.703
Y  0.102  0.203  0.297

SG: Amm2 (38)
Total magnetization, μB/f.u.: 0.000


## x
## Pm3Sm4Y4 (GGA-PBE)

Data for a relaxed structure of Pm3Sm4Y4.

Cell lengths 3.570, 11.407, 11.097 Å; angles 120.93, 99.26, 90.00 degrees
Sites, in units of the cell vectors:
Pm  0.896  0.896  0.791
Pm  0.104  0.104  0.209
Pm  0.000  0.500  0.000
Sm  0.670  0.429  0.340
Sm  0.330  0.089  0.660
Sm  0.330  0.571  0.660
Sm  0.670  0.911  0.340
Y  0.775  0.275  0.550
Y  0.225  0.725  0.450
Y  0.500  0.786  0.000
Y  0.500  0.214  0.000

SG: Immm (71)
Total magnetization, μB/f.u.: 0.000


Name the most stable of them. w.